1.
DFT (PBE) results for a geometry-optimized Sr4Tb3SmTe8 structure.

Computed properties:
Spin magnetization: 0.0 μB/cell
Fermi-level density of states: 18.94 states/eV/cell
Calculated total energy: -4.666 eV per atom
Formation energy without anion corrections: -24.19 eV/f.u.

Unit cell a=9.0073 b=9.0073 c=22.7077 alpha=90.00 beta=90.00 gamma=120.00
Space group R-3m (No. 166, hexagonal axes)
One atom of each set of equivalent atoms:
Sr (0.0000, 0.0000, 0.0000) x3
Sr (0.0000, 0.5000, 0.0000) x9
Tb (0.0000, 0.5000, 0.5000) x9
Sm (0.0000, 0.0000, 0.5000) x3
Te (0.0000, 0.0000, 0.2440) x6
Te (0.0030, 0.5015, 0.7554) x18

=====

2.
DFT (PBE) results for a geometry-optimized Sr3Tb2SmTe6 structure.

Computed properties:
Spin magnetization: 0.0 μB/cell
Fermi-level density of states: 10.43 states/eV/cell
Calculated total energy: -4.670 eV per atom
Formation energy without anion corrections: -18.17 eV/f.u.

Unit cell a=7.814 b=13.516 c=8.008 alpha=90.00 beta=108.99 gamma=90.00
Space group C2/m (No. 12)
One atom of each set of equivalent atoms:
Sr (0.000, 0.000, 0.000) x2
Sr (0.000, 0.335, 0.000) x4
Tb (0.000, 0.167, 0.500) x4
Sm (0.000, 0.500, 0.500) x2
Te (0.240, 0.000, 0.733) x4
Te (0.247, 0.331, 0.734) x8

=====

3.
DFT (PBE) results for a geometry-optimized SrTb3Sm4Te8 structure.

Computed properties:
Spin magnetization: 0.0 μB/cell
Fermi-level density of states: 28.52 states/eV/cell
Calculated total energy: -5.104 eV per atom
Formation energy without anion corrections: -22.08 eV/f.u.

Unit cell a=8.8757 b=8.8757 c=21.8706 alpha=90.00 beta=90.00 gamma=120.00
Space group R-3m (No. 166, hexagonal axes)
One atom of each set of equivalent atoms:
Sr (0.0000, 0.0000, 0.0000) x3
Tb (0.0000, 0.5000, 0.0000) x9
Sm (0.0000, 0.0000, 0.5000) x3
Sm (0.0000, 0.5000, 0.5000) x9
Te (0.0000, 0.0000, 0.2521) x6
Te (0.0067, 0.5033, 0.2504) x18

=====

4.
DFT (PBE) results for a geometry-optimized Sr3TbSm2Te6 structure.

Computed properties:
Spin magnetization: 0.0 μB/cell
Fermi-level density of states: 10.51 states/eV/cell
Calculated total energy: -4.689 eV per atom
Formation energy without anion corrections: -18.30 eV/f.u.

Unit cell a=7.836 b=13.554 c=8.031 alpha=90.00 beta=108.98 gamma=90.00
Space group C2/m (No. 12)
One atom of each set of equivalent atoms:
Sr (0.000, 0.000, 0.000) x2
Sr (0.000, 0.332, 0.000) x4
Tb (0.000, 0.500, 0.500) x2
Sm (0.000, 0.166, 0.500) x4
Te (0.243, 0.335, 0.735) x8
Te (0.250, 0.000, 0.737) x4